First-principles (PBE) data for crystalline TbSmTl4 at its relaxed geometry, as listed in Alexandria.

a b c (Å): 5.057 5.057 7.683
angles (deg): 90.04 90.04 89.97
Element x y z (fractional)
Tb1 0.000 0.000 0.000
Sm1 0.500 0.500 0.500
Tl1 0.000 0.500 0.244
Tl2 0.000 0.500 0.756
Tl3 0.500 0.000 0.244
Tl4 0.500 0.000 0.756

Calculated values
Its energy of formation from the pure elements is -12 meV per atom. The calculated volume is 32.74 Å³/atom. For the density, the calculation gives 9.5 g/cm3. The value obtained for the energy above the most stable polymorph in this dataset is 6.3 kJ per mole of atoms.